Density functional theory data (PBE with a Hubbard U) for CrCdNiF6 after structural relaxation.

Computed properties:
**Space-group type**: P-31c, No. 163
**Magnetization**: 0.665 μB/atom
**Raw total energy**: -4.6892 eV/atom
**DOS at the Fermi energy**: 0.62 states/eV/atom

a b c (Å): 5.400 5.400 9.651
angles (deg): 90.00 90.00 120.00
Last column: magnetic moment on the atom in μB.
Element x y z (fractional)
1 Cr 0.667 0.333 0.250  3.77
2 Cr 0.333 0.667 0.750  3.77
3 F 0.355 0.345 0.864  0.02
4 F 0.990 0.645 0.864  0.02
5 F 0.010 0.355 0.136  0.02
6 F 0.990 0.345 0.636  0.02
7 F 0.655 0.010 0.864  0.02
8 F 0.645 0.655 0.136  0.02
9 F 0.645 0.990 0.364  0.02
10 F 0.010 0.655 0.364  0.02
11 F 0.345 0.355 0.364  0.02
12 F 0.345 0.990 0.136  0.02
13 F 0.355 0.010 0.636  0.02
14 F 0.655 0.645 0.636  0.02
15 Ni 0.667 0.333 0.750  1.83
16 Ni 0.333 0.667 0.250  1.83
17 Cd 0.000 0.000 0.500  0.04
18 Cd 0.000 0.000 0.000  0.04